# 1
Material: Th6MgSe12
Method: DFT, GGA-PBE
State: optimized geometry

Calculated values
- energy relative to the elements, uncorrected (eV/atom) = -1.6214
- E (eV per cell) = -356.2
- density (Mg/m³) = 7.1

Lattice parameters (Å, degrees): 12.8635 12.8635 11.6436 90.00 90.00 120.00
Space group R-3 (No. 148, hexagonal axes)
Symmetry-distinct sites (fractional):
Th: 0.0553 0.2760 0.1470 (multiplicity 18)
Mg: 0.0000 0.0000 0.5000 (multiplicity 3)
Se: 0.0370 0.2154 0.8919 (multiplicity 18)
Se: 0.0498 0.2035 0.3871 (multiplicity 18)

=====

# 2
Material: ThMgSe3
Method: DFT, GGA-PBE
State: optimized geometry

Calculated values
- energy relative to the elements, uncorrected (eV/atom) = -1.4627
- E (eV per cell) = -107.1
- density (Mg/m³) = 6.2

Lattice parameters (Å, degrees): 7.0460 7.4091 10.2873 90.00 97.93 90.00
Space group P2_1/c (No. 14)
Symmetry-distinct sites (fractional):
Th: 0.0070 0.2416 0.1571 (multiplicity 4)
Mg: 0.4643 0.6824 0.1253 (multiplicity 4)
Se: 0.1710 0.6070 0.6108 (multiplicity 4)
Se: 0.2162 0.0625 0.4403 (multiplicity 4)
Se: 0.3133 0.0150 0.7925 (multiplicity 4)

=====

> Among the records above, which one has the lowest energy relative to the elements, uncorrected?

Th6MgSe12

=====

Please write out number 2 again, unchanged.
Material: ThMgSe3
Method: DFT, GGA-PBE
State: optimized geometry

Calculated values
- energy relative to the elements, uncorrected (eV/atom) = -1.4627
- E (eV per cell) = -107.1
- density (Mg/m³) = 6.2

Lattice parameters (Å, degrees): 7.0460 7.4091 10.2873 90.00 97.93 90.00
Space group P2_1/c (No. 14)
Symmetry-distinct sites (fractional):
Th: 0.0070 0.2416 0.1571 (multiplicity 4)
Mg: 0.4643 0.6824 0.1253 (multiplicity 4)
Se: 0.1710 0.6070 0.6108 (multiplicity 4)
Se: 0.2162 0.0625 0.4403 (multiplicity 4)
Se: 0.3133 0.0150 0.7925 (multiplicity 4)